# Nd2PaH

Crystalline Nd2PaH at its relaxed geometry (PBE-GGA, Alexandria).

Output
* polymorph energy (0 for the lowest one): 0.045 eV per atom
* magnetic moment: 0.0 μB per formula unit
* V: 92 Å³/cell

a = 3.282 Å, b = 3.282 Å, c = 8.526 Å
α = 90.00°, β = 90.00°, γ = 90.00°
Space group P4/mmm (No. 123)
Symmetry-distinct sites (fractional):
Nd: 0.000 0.000 0.197 (multiplicity 2)
Pa: 0.500 0.500 0.500 (multiplicity 1)
H: 0.500 0.500 0.000 (multiplicity 1)